Below is a relaxed structure of BeInCo2, with properties calculated at the PBE level.

Geometry as POSCAR:
```
BeInCo2
1.0
4.049 0.021 0.000
-0.021 4.049 0.000
0.000 0.000 3.030
Co In Be
2 1 1
direct
0.500 0.500 0.000
0.000 0.000 0.000
0.500 0.000 0.500
0.000 0.500 0.500
```

## Properties
energy of formation from the pure elements: 0.18 eV/atom
magnetic moment: 0.0 μB/cell
N(E_F): 3.1 states/eV/f.u.